Density functional theory data (GGA+U) for an optimized crystal structure of MnSO2F.

It has space group P4/mmm (No. 123), with a = 3.923 Å, b = 3.923 Å, c = 3.825 Å, α = 90.00°, β = 90.00° and γ = 90.00°. The distinct sites, in fractional coordinates, are Mn at (0.000, 0.000, 0.000), S at (0.500, 0.500, 0.500), O at (0.000, 0.500, 0.000) and F at (0.000, 0.000, 0.500).

The calculation puts the raw total energy at -5.10 eV/atom. The density of states at the Fermi level is 3.22 states/eV per cell.